(1)
Compound: ZrSnGePt2
Source: Alexandria via LeMat-Bulk
Functional: GGA-PBE
Structure: relaxed

Summary:
As for the volume: 24.746 Å³/atom. The calculation puts the size of the total moment at 0.00 μB/cell. Its energy is -5.18 eV per atom. Its density of states at the Fermi level is 5.1 states/eV/cell.

```
5
Lattice="4.929 0.000 0.000 0.000 4.929 0.000 0.000 0.000 5.092" Properties=species:S:1:pos:R:3 pbc="T T T"
Zr 0.000 0.000 0.000
Sn 2.465 2.465 2.546
Ge 2.465 2.465 0.000
Pt 0.000 2.465 2.546
Pt 2.465 0.000 2.546
```



(2)
Compound: Sr3GePt8
Source: Alexandria via LeMat-Bulk
Functional: GGA-PBE
Structure: relaxed

Summary:
As for the volume: 20.175 Å³/atom. The calculation puts the size of the total moment at 0.00 μB/cell. Its energy is -5.54 eV per atom. Its density of states at the Fermi level is 6.2 states/eV/cell.

```
12
Lattice="2.792 1.612 8.962 -2.792 1.612 8.962 0.000 -3.224 8.962" Properties=species:S:1:pos:R:3 pbc="T T T"
Sr 0.000 0.000 0.000
Sr 0.000 0.000 3.523
Sr 0.000 0.000 13.964
Ge 0.000 0.000 17.799
Pt 0.000 -1.611 6.306
Pt -1.396 0.806 6.306
Pt -1.373 -0.793 10.792
Pt 0.000 0.000 8.492
Pt 1.373 -0.793 10.792
Pt 0.000 1.586 10.792
Pt 1.396 0.806 6.306
Pt 0.000 0.000 22.001
```



(3)
Compound: SrGe2Pt8
Source: Alexandria via LeMat-Bulk
Functional: GGA-PBE
Structure: relaxed

Summary:
As for the volume: 22.549 Å³/atom. The calculation puts the size of the total moment at 0.00 μB/cell. Its energy is -5.54 eV per atom. Its density of states at the Fermi level is 6.6 states/eV/cell.

```
11
Lattice="5.390 0.000 0.000 0.000 5.390 0.000 0.000 0.000 8.538" Properties=species:S:1:pos:R:3 pbc="T T T"
Sr 0.000 0.000 0.000
Ge 0.000 2.695 4.269
Ge 2.695 0.000 4.269
Pt 1.358 1.358 2.572
Pt 1.358 1.358 5.965
Pt 1.358 4.032 2.572
Pt 1.358 4.032 5.965
Pt 4.032 1.358 2.572
Pt 4.032 1.358 5.965
Pt 4.032 4.032 2.572
Pt 4.032 4.032 5.965
```